Entry 1:
Entry from Alexandria via LeMat-Bulk: crystalline CaLa2Os at its relaxed geometry (PBE-GGA).

Output
M_tot = 0.000 μB/atom
E_tot = -5.440 eV per atom
energy of formation = 0.33 eV per atom

a b c (Å): 5.2620 5.2620 5.2620
angles (deg): 60.00 60.00 60.00
Closest atoms and distances in Å follow each position.
Sites, in units of the cell vectors:
Ca: 0.5000 0.5000 0.5000  4 Os 3.22, 4 La 3.22
Os: 0.7500 0.7500 0.7500  4 La 3.22, 4 Ca 3.22
La: 0.0000 0.0000 0.0000  4 La 3.22, 4 Os 3.22
La: 0.2500 0.2500 0.2500  4 La 3.22, 4 Ca 3.22

***

Entry 2:
Entry from Alexandria via LeMat-Bulk: crystalline CaLa2Os at its relaxed geometry (PBE-GGA).

Output
M_tot = 0.000 μB/atom
E_tot = -5.693 eV per atom
energy of formation = 0.08 eV per atom

a b c (Å): 4.1121 4.6415 7.2488
angles (deg): 67.06 90.00 90.00
Closest atoms and distances in Å follow each position.
Sites, in units of the cell vectors:
Os: 0.5000 0.2500 0.2500  4 La 2.75
La: 0.0000 0.0672 0.0679  2 Os 2.75
La: 0.0000 0.4328 0.4321  2 Os 2.75
Ca: 0.5000 0.7500 0.7500  2 Os 3.46, 8 La 3.73-3.79

***

Entry 3:
Entry from Alexandria via LeMat-Bulk: crystalline CaLa3Os at its relaxed geometry (PBE-GGA).

Output
M_tot = 0.000 μB/atom
E_tot = -5.473 eV per atom
energy of formation = 0.13 eV per atom

a b c (Å): 10.7214 10.7214 10.7214
angles (deg): 60.00 60.00 60.00
Closest atoms and distances in Å follow each position.
Sites, in units of the cell vectors:
La: 0.6871 0.3129 0.6871  2 Os 2.84
La: 0.9371 0.5629 0.5629  2 Os 2.84
Ca: 0.6250 0.1250 0.1250  6 La 3.91
La: 0.3129 0.3129 0.6871  2 Os 2.84
La: 0.6871 0.6871 0.3129  2 Os 2.84
La: 0.3129 0.6871 0.6871  2 Os 2.84
La: 0.5629 0.9371 0.5629  2 Os 2.84
La: 0.9371 0.5629 0.9371  2 Os 2.84
La: 0.5629 0.9371 0.9371  2 Os 2.84
Os: 0.6250 0.6250 0.6250  6 La 2.84
La: 0.3129 0.6871 0.3129  2 Os 2.84
La: 0.5629 0.5629 0.9371  2 Os 2.84
Os: 0.1250 0.6250 0.6250  6 La 2.84
La: 0.6871 0.3129 0.3129  2 Os 2.84
Os: 0.6250 0.6250 0.1250  6 La 2.84
Ca: 0.1250 0.1250 0.6250  6 La 3.91
La: 0.9371 0.9371 0.5629  2 Os 2.84
Os: 0.6250 0.1250 0.6250  6 La 2.84
Ca: 0.1250 0.6250 0.1250  6 La 3.91
Ca: 0.1250 0.1250 0.1250  6 La 3.91

***

Entry 4:
Entry from Alexandria via LeMat-Bulk: crystalline CaLaOs2 at its relaxed geometry (PBE-GGA).

Output
M_tot = 0.000 μB/atom
E_tot = -6.757 eV per atom
energy of formation = 0.59 eV per atom

a b c (Å): 3.5167 3.5167 6.8646
angles (deg): 90.00 90.00 90.00
Closest atoms and distances in Å follow each position.
Sites, in units of the cell vectors:
Ca: 0.5000 0.5000 0.2500  8 Os 3.07, 2 La 3.43
La: 0.5000 0.5000 0.7500  8 Os 2.97
Os: 0.0000 0.0000 0.9868  4 La 2.97, 4 Ca 3.07, 1 Os 3.25
Os: 0.0000 0.0000 0.5132  4 La 2.97, 4 Ca 3.07, 1 Os 3.25

***

Entry 5:
Entry from Alexandria via LeMat-Bulk: crystalline CaLa3Os at its relaxed geometry (PBE-GGA).

Output
M_tot = 0.000 μB/atom
E_tot = -4.756 eV per atom
energy of formation = 0.85 eV per atom

a b c (Å): 5.8127 5.8127 13.4395
angles (deg): 77.51 77.51 90.00
Closest atoms and distances in Å follow each position.
Sites, in units of the cell vectors:
Os: 0.7025 0.2025 0.5951  1 Os 2.43
Ca: 0.0000 0.0000 0.0000  4 La 3.79
La: 0.2893 0.2893 0.4214  2 Os 2.91, 2 Ca 3.08
Ca: 0.2500 0.7500 0.5000  8 La 3.08-3.25
La: 0.0996 0.8621 0.2757  2 La 2.76-3.05
La: 0.6247 0.8621 0.2757  2 La 2.76-3.05
La: 0.1379 0.9004 0.7243  2 La 2.76-3.05
La: 0.1379 0.3753 0.7243  2 La 2.76-3.05
La: 0.7107 0.7107 0.5786  2 Os 2.91, 2 Ca 3.08
Os: 0.7975 0.2975 0.4049  1 Os 2.43

***

Entry 6:
Entry from Alexandria via LeMat-Bulk: crystalline CaLa2Os at its relaxed geometry (PBE-GGA).

Output
M_tot = 0.000 μB/atom
E_tot = -5.481 eV per atom
energy of formation = 0.29 eV per atom

a b c (Å): 5.0405 5.0303 4.2303
angles (deg): 90.00 90.00 90.00
Closest atoms and distances in Å follow each position.
Sites, in units of the cell vectors:
Ca: 0.0000 0.5000 0.5000  8 La 3.29, 4 Os 3.56
La: 0.0000 0.0000 0.0000  4 Ca 3.29, 4 Os 3.29, 4 La 3.56
Os: 0.5000 0.0000 0.5000  8 La 3.29, 4 Ca 3.56
La: 0.5000 0.5000 0.0000  4 Os 3.29, 4 Ca 3.29, 4 La 3.56

***

Entry 7:
Entry from Alexandria via LeMat-Bulk: crystalline CaLaOs3 at its relaxed geometry (PBE-GGA).

Output
M_tot = 0.000 μB/atom
E_tot = -6.049 eV per atom
energy of formation = 2.07 eV per atom

a b c (Å): 4.9253 4.9253 4.9253
angles (deg): 90.00 90.00 90.00
Closest atoms and distances in Å follow each position.
Sites, in units of the cell vectors:
Os: 0.0000 0.5000 0.0000  2 La 2.46
Os: 0.0000 0.0000 0.5000  2 La 2.46
La: 0.0000 0.0000 0.0000  6 Os 2.46
Os: 0.5000 0.0000 0.0000  2 La 2.46
Ca: 0.5000 0.5000 0.5000  12 Os 3.48

***

Entry 8:
Entry from Alexandria via LeMat-Bulk: crystalline CaLa2Os at its relaxed geometry (PBE-GGA).

Output
M_tot = 0.000 μB/atom
E_tot = -5.826 eV per atom
energy of formation = -0.05 eV per atom

a b c (Å): 4.1539 6.7556 9.1303
angles (deg): 90.00 90.00 107.90
Closest atoms and distances in Å follow each position.
Sites, in units of the cell vectors:
Os: 0.7499 0.4996 0.2500  6 La 2.97-3.18, 2 Ca 3.05
La: 0.1478 0.2954 0.4334  3 Os 2.97-3.18
La: 0.1478 0.2954 0.0666  3 Os 2.97-3.18
Ca: 0.5765 0.1530 0.7500  2 Os 3.05
Os: 0.2501 0.5004 0.7500  6 La 2.97-3.18, 2 Ca 3.05
Ca: 0.4235 0.8470 0.2500  2 Os 3.05
La: 0.8522 0.7046 0.9334  3 Os 2.97-3.18
La: 0.8522 0.7046 0.5666  3 Os 2.97-3.18

***

Entry 9:
Entry from Alexandria via LeMat-Bulk: crystalline CaLa3Os at its relaxed geometry (PBE-GGA).

Output
M_tot = 0.000 μB/atom
E_tot = -5.595 eV per atom
energy of formation = 0.01 eV per atom

a b c (Å): 9.2428 9.2428 9.2428
angles (deg): 46.34 46.34 46.34
Closest atoms and distances in Å follow each position.
Sites, in units of the cell vectors:
Os: 0.6856 0.6856 0.6856  6 La 2.87-2.90
La: 0.7025 0.3583 0.1115  2 Os 2.87-2.90
La: 0.6417 0.8885 0.2975  2 Os 2.87-2.90
Ca: 0.1828 0.1828 0.1828  1 Os 3.25, 3 La 3.58
Os: 0.3144 0.3144 0.3144  6 La 2.87-2.90
La: 0.3583 0.1115 0.7025  2 Os 2.87-2.90
La: 0.8885 0.2975 0.6417  2 Os 2.87-2.90
Ca: 0.8172 0.8172 0.8172  1 Os 3.25, 3 La 3.58
La: 0.2975 0.6417 0.8885  2 Os 2.87-2.90
La: 0.1115 0.7025 0.3583  2 Os 2.87-2.90

***

Entry 10:
Entry from Alexandria via LeMat-Bulk: crystalline CaLaOs2 at its relaxed geometry (PBE-GGA).

Output
M_tot = 0.000 μB/atom
E_tot = -6.586 eV per atom
energy of formation = 0.76 eV per atom

a b c (Å): 9.3051 9.3051 9.3051
angles (deg): 20.20 20.20 20.20
Closest atoms and distances in Å follow each position.
Sites, in units of the cell vectors:
La: 0.7500 0.7500 0.7500  6 Os 2.93, 6 La 3.26
Os: 0.0010 0.0010 0.0010  3 La 2.93, 3 Ca 2.98, 6 Os 3.26
Ca: 0.2500 0.2500 0.2500  6 Os 2.98, 6 Ca 3.26
Os: 0.4990 0.4990 0.4990  3 La 2.93, 3 Ca 2.98, 6 Os 3.26

***

Entry 11:
Entry from Alexandria via LeMat-Bulk: crystalline CaLa3Os at its relaxed geometry (PBE-GGA).

Output
M_tot = 0.000 μB/atom
E_tot = -5.653 eV per atom
energy of formation = -0.05 eV per atom

a b c (Å): 24.3121 7.1461 9.6212
angles (deg): 90.00 155.10 90.00
Closest atoms and distances in Å follow each position.
Sites, in units of the cell vectors:
Ca: 0.9382 0.8457 0.9914  1 Os 3.01
Os: 0.8880 0.9219 0.4258  5 La 2.80-2.86, 1 Ca 3.01
Ca: 0.0618 0.1543 0.0086  1 Os 3.01
La: 0.8205 0.5808 0.3953  2 Os 2.80-2.85
La: 0.4367 0.2605 0.8642  2 Os 2.82-2.86
La: 0.6795 0.0808 0.1047  2 Os 2.80-2.85
Ca: 0.5618 0.3457 0.5086  1 Os 3.01
La: 0.3205 0.9192 0.8953  2 Os 2.80-2.85
Os: 0.1120 0.0781 0.5742  5 La 2.80-2.86, 1 Ca 3.01
Os: 0.3880 0.5781 0.9258  5 La 2.80-2.86, 1 Ca 3.01
La: 0.5633 0.7395 0.1358  2 Os 2.82-2.86
La: 0.9367 0.2395 0.3642  2 Os 2.82-2.86
La: 0.7011 0.8339 0.7875  1 Os 2.85
La: 0.7989 0.3339 0.7125  1 Os 2.85
La: 0.0633 0.7605 0.6358  2 Os 2.82-2.86
La: 0.2989 0.1661 0.2125  1 Os 2.85
La: 0.2011 0.6661 0.2875  1 Os 2.85
La: 0.1795 0.4192 0.6047  2 Os 2.80-2.85
Os: 0.6120 0.4219 0.0742  5 La 2.80-2.86, 1 Ca 3.01
Ca: 0.4382 0.6543 0.4914  1 Os 3.01

***

Entry 12:
Entry from Alexandria via LeMat-Bulk: crystalline CaLa3Os at its relaxed geometry (PBE-GGA).

Output
M_tot = 0.000 μB/atom
E_tot = -5.694 eV per atom
energy of formation = -0.09 eV per atom

a b c (Å): 6.6661 6.6706 8.5214
angles (deg): 90.00 90.00 105.48
Closest atoms and distances in Å follow each position.
Sites, in units of the cell vectors:
La: 0.7685 0.9322 0.1500  1 Os 2.69
Os: 0.4850 0.2149 0.6500  5 La 2.69-2.83, 1 Ca 2.96
La: 0.7289 0.4297 0.4000  2 Os 2.83
La: 0.7289 0.4297 0.9000  2 Os 2.83
La: 0.2711 0.9703 0.9000  2 Os 2.83
La: 0.2315 0.4678 0.6500  1 Os 2.69
La: 0.2711 0.9703 0.4000  2 Os 2.83
Ca: 0.2356 0.4636 0.1500  1 Os 2.96
Ca: 0.7644 0.9364 0.6500  1 Os 2.96
Os: 0.5150 0.1851 0.1500  5 La 2.69-2.83, 1 Ca 2.96

***

Copy entry 9 word for word.
Entry from Alexandria via LeMat-Bulk: crystalline CaLa3Os at its relaxed geometry (PBE-GGA).

Output
M_tot = 0.000 μB/atom
E_tot = -5.595 eV per atom
energy of formation = 0.01 eV per atom

a b c (Å): 9.2428 9.2428 9.2428
angles (deg): 46.34 46.34 46.34
Closest atoms and distances in Å follow each position.
Sites, in units of the cell vectors:
Os: 0.6856 0.6856 0.6856  6 La 2.87-2.90
La: 0.7025 0.3583 0.1115  2 Os 2.87-2.90
La: 0.6417 0.8885 0.2975  2 Os 2.87-2.90
Ca: 0.1828 0.1828 0.1828  1 Os 3.25, 3 La 3.58
Os: 0.3144 0.3144 0.3144  6 La 2.87-2.90
La: 0.3583 0.1115 0.7025  2 Os 2.87-2.90
La: 0.8885 0.2975 0.6417  2 Os 2.87-2.90
Ca: 0.8172 0.8172 0.8172  1 Os 3.25, 3 La 3.58
La: 0.2975 0.6417 0.8885  2 Os 2.87-2.90
La: 0.1115 0.7025 0.3583  2 Os 2.87-2.90

***

Question: Which formula does entry 8 have?
Answer: CaLa2Os

***

Question: energy of formation of number 6 (CaLa2Os)?
Answer: 0.29 eV per atom